Entry from Alexandria: a geometry-optimized Dy2ThSc structure (PBE).

As for the relative energy among the computed polymorphs: 167 meV/atom.

It has space group Fm-3m (No. 225), with a = 7.8553 Å, b = 7.8553 Å, c = 7.8553 Å, α = 90.00°, β = 90.00° and γ = 90.00°. The asymmetric unit holds Dy at (0.2500, 0.2500, 0.2500), Th at (0.0000, 0.0000, 0.0000) and Sc at (0.0000, 0.0000, 0.5000).

---

Entry from Alexandria: a geometry-optimized Dy8ThSc3 structure (PBE).

It has space group Cm (No. 8), with a = 18.1150 Å, b = 3.5176 Å, c = 11.9190 Å, α = 90.00°, β = 109.74° and γ = 90.00°. The asymmetric unit holds Dy at (0.0000, 0.0000, 0.0000), Dy at (0.0006, 0.5000, 0.7502), Dy at (0.0571, 0.5000, 0.5037), Dy at (0.1689, 0.5000, 0.9936), Dy at (0.2193, 0.0000, 0.4955), Dy at (0.3303, 0.5000, 0.7572), Dy at (0.3859, 0.5000, 0.4957), Dy at (0.4416, 0.5000, 0.2410), Th at (0.2749, 0.0000, 0.2439), Sc at (0.1140, 0.5000, 0.2483), Sc at (0.1674, 0.0000, 0.7498) and Sc at (0.3307, 0.0000, 0.9973).

---

Entry from Alexandria: a geometry-optimized Dy8ThSc2 structure (PBE).

As for the relative energy among the computed polymorphs: 84 meV/atom.

It has space group Immm (No. 71), with a = 5.3049 Å, b = 8.2238 Å, c = 15.5749 Å, α = 90.00°, β = 90.00° and γ = 90.00°. The asymmetric unit holds Dy at (0.0000, 0.0000, 0.1584), Dy at (0.0000, 0.2065, 0.3530), Dy at (0.0000, 0.2949, 0.0000), Th at (0.0000, 0.5000, 0.5000) and Sc at (0.0000, 0.5000, 0.2007).

---

Entry from Alexandria: a geometry-optimized DyTh5Sc4 structure (PBE).

It has space group P4/mmm (No. 123), with a = 3.4754 Å, b = 3.4754 Å, c = 24.1158 Å, α = 90.00°, β = 90.00° and γ = 90.00°. The asymmetric unit holds Dy at (0.0000, 0.0000, 0.0000), Th at (0.5000, 0.5000, 0.1071), Th at (0.5000, 0.5000, 0.3035), Th at (0.5000, 0.5000, 0.5000), Sc at (0.0000, 0.0000, 0.2054) and Sc at (0.0000, 0.0000, 0.4017).

---

What formation energy values result from the calculations? In sequence: 0.198 0.025 0.131 0.032 eV/atom.